Entry from the Alexandria database: a relaxed ScAg2C2 crystal (GGA-PBE).

Results
Total energy   -4.562 eV/atom
Calculated formation energy   35.392 kcal/mol of atoms
Energy above the most stable polymorph in this dataset   256 meV/atom
Symmetry   P4/mbm

Unit cell a=6.9769 b=6.9769 c=2.8774 alpha=90.00 beta=90.00 gamma=90.00
Last column: nearest neighbours and their distance in Å.
Positions (direct):
1 Ag 0.3688 0.8688 0.0000  2 C 2.26
2 C 0.1923 0.6923 0.5000  2 Ag 2.26
3 Ag 0.1312 0.3688 0.0000  2 C 2.26
4 Ag 0.8688 0.6312 0.0000  2 C 2.26
5 Ag 0.6312 0.1312 0.0000  2 C 2.26
6 C 0.3077 0.1923 0.5000  2 Ag 2.26
7 C 0.8077 0.3077 0.5000  2 Ag 2.26
8 Sc 0.0000 0.0000 0.0000  4 Ag 2.73, 2 Sc 2.88, 8 C 2.91
9 Sc 0.5000 0.5000 0.0000  4 Ag 2.73, 2 Sc 2.88, 8 C 2.91
10 C 0.6923 0.8077 0.5000  2 Ag 2.26

---

Entry from the Alexandria database: a relaxed ThTi2Ru crystal (GGA-PBE).

Results
Total energy   -8.344 eV/atom
Calculated formation energy   -5.127 kcal/mol of atoms
Symmetry   P4/mmm

Unit cell a=3.1744 b=3.1744 c=7.6707 alpha=90.00 beta=90.00 gamma=90.00
Last column: nearest neighbours and their distance in Å.
Positions (direct):
1 Ti 0.0000 0.0000 0.1899  4 Ru 2.68, 1 Ti 2.91
2 Ti 0.0000 0.0000 0.8101  4 Ru 2.68, 1 Ti 2.91
3 Th 0.5000 0.5000 0.5000  4 Th 3.17, 8 Ti 3.27
4 Ru 0.5000 0.5000 0.0000  8 Ti 2.68

---

Entry from the Alexandria database: a relaxed ZnHg2Cl6 crystal (GGA-PBE).

Results
Total energy   -2.162 eV/atom
Energy above the most stable polymorph in this dataset   35 meV/atom
Formation energy from raw total energies   -0.72 eV per atom
Symmetry   P2_1/c

Unit cell a=7.6309 b=6.1901 c=11.6732 alpha=90.00 beta=76.24 gamma=90.00
Last column: nearest neighbours and their distance in Å.
Positions (direct):
1 Cl 0.3726 0.7458 0.1314  1 Zn 2.21
2 Cl 0.6518 0.2677 0.1750  1 Hg 2.35
3 Zn 0.5000 0.5000 0.0000  2 Cl 2.21
4 Hg 0.9846 0.4691 0.8171  2 Cl 2.35-2.38
5 Cl 0.6757 0.2024 0.5322  1 Hg 2.38
6 Cl 0.3243 0.7976 0.4678  1 Hg 2.38
7 Cl 0.8243 0.7024 0.9678  1 Hg 2.38
8 Zn 0.0000 0.0000 0.5000  2 Cl 2.21
9 Cl 0.8482 0.7677 0.3250  1 Hg 2.35
10 Hg 0.0154 0.5309 0.1829  2 Cl 2.35-2.38
11 Cl 0.1274 0.2458 0.3686  1 Zn 2.21
12 Cl 0.6274 0.2542 0.8686  1 Zn 2.21
13 Cl 0.3482 0.7323 0.8250  1 Hg 2.35
14 Cl 0.8726 0.7542 0.6314  1 Zn 2.21
15 Cl 0.1757 0.2976 0.0322  1 Hg 2.38
16 Hg 0.5154 0.9691 0.6829  2 Cl 2.35-2.38
17 Hg 0.4846 0.0309 0.3171  2 Cl 2.35-2.38
18 Cl 0.1518 0.2323 0.6750  1 Hg 2.35

---

Entry from the Alexandria database: a relaxed P2WCS crystal (GGA-PBE).

Results
Total energy   -6.234 eV/atom
Energy above the most stable polymorph in this dataset   0 meV/atom
Formation energy from raw total energies   1.19 eV per atom
Symmetry   P4/mmm

Unit cell a=3.9327 b=3.9327 c=4.0822 alpha=90.00 beta=90.00 gamma=90.00
Last column: nearest neighbours and their distance in Å.
Positions (direct):
1 S 0.0000 0.0000 0.5000  2 C 2.04
2 P 0.5000 0.0000 0.0000  2 C 1.97
3 C 0.0000 0.0000 0.0000  4 P 1.97, 2 S 2.04
4 P 0.0000 0.5000 0.0000  2 C 1.97
5 W 0.5000 0.5000 0.5000  4 S 2.78, 8 P 2.83

---

Entry from the Alexandria database: a relaxed LiCa2SmHg4 crystal (GGA-PBE).

Results
Total energy   -1.946 eV/atom
Calculated formation energy   -10.748 kcal/mol of atoms
Symmetry   R-3m

Unit cell a=5.2326 b=5.2326 c=9.2052 alpha=73.49 beta=73.49 gamma=60.00
Last column: nearest neighbours and their distance in Å.
Positions (direct):
1 Li 0.5000 0.5000 0.5000  8 Hg 3.21-3.23
2 Hg 0.1252 0.1252 0.6244  4 Ca 3.14-3.17, 3 Li 3.21, 1 Sm 3.27
3 Hg 0.3762 0.3762 0.8714  3 Sm 3.22, 1 Li 3.23, 4 Ca 3.24-3.41
4 Hg 0.6238 0.6238 0.1286  3 Sm 3.22, 1 Li 3.23, 4 Ca 3.24-3.41
5 Hg 0.8748 0.8748 0.3756  4 Ca 3.14-3.17, 3 Li 3.21, 1 Sm 3.27
6 Sm 0.0000 0.0000 0.0000  8 Hg 3.22-3.27
7 Ca 0.7545 0.7545 0.7365  8 Hg 3.14-3.41
8 Ca 0.2455 0.2455 0.2635  8 Hg 3.14-3.41

---

Number 1: total magnetic moment 0.298 μB/f.u.. Number 2: total magnetic moment 0.000 μB/f.u.. Number 3: total magnetic moment 0.000 μB/f.u.. Number 4: total magnetic moment 0.000 μB/f.u.. Number 5: total magnetic moment 0.000 μB/f.u..